[1]
GGA+U LaNiPO2, optimized geometry; total DFT energy (no corrections) = -27.90 eV/cell; distance to the lowest polymorph of the same formula = 0 meV per atom; ρ = 6.0 g/cm³; space-group type = No. 123
1.0
4.1003 0.0000 0.0000
0.0000 4.1003 0.0000
0.0000 0.0000 4.2778
La Ni P O
1 1 1 2
Cartesian
0.0000 0.0000 0.0000 La
2.0502 2.0502 2.1389 Ni
2.0502 2.0502 0.0000 P
0.0000 2.0502 2.1389 O
2.0502 0.0000 2.1389 O

[2]
GGA+U ScCoOF2, optimized geometry; total DFT energy (no corrections) = -28.73 eV/cell; distance to the lowest polymorph of the same formula = 557 meV per atom; ρ = 4.3 g/cm³; space-group type = No. 123
1.0
3.9697 0.0000 0.0000
0.0000 3.9697 0.0000
0.0000 0.0000 3.8608
Sc Co O F
1 1 1 2
Cartesian
0.0000 0.0000 0.0000 Sc
1.9848 1.9848 1.9304 Co
1.9848 1.9848 0.0000 O
0.0000 1.9848 1.9304 F
1.9848 0.0000 1.9304 F